Here is an optimized crystal structure of Rb3Sc3PaS8 from the Alexandria database. Energies are from PBE.

Unit cell a=8.964 b=8.964 c=8.964 alpha=51.16 beta=51.16 gamma=51.16
Fractional coordinates of all 15 atoms:
1 Rb 0.000 0.500 0.500
2 Rb 0.500 0.000 0.500
3 Rb 0.500 0.500 0.000
4 Sc 0.000 0.000 0.500
5 Sc 0.000 0.500 0.000
6 Sc 0.500 0.000 0.000
7 Pa 0.500 0.500 0.500
8 S 0.219 0.732 0.732
9 S 0.227 0.227 0.227
10 S 0.268 0.268 0.781
11 S 0.268 0.781 0.268
12 S 0.732 0.219 0.732
13 S 0.732 0.732 0.219
14 S 0.773 0.773 0.773
15 S 0.781 0.268 0.268

Output
The raw total energy comes out at -0.4415 Ry per atom. For the energy relative to the elements, uncorrected, the calculation gives -25.7 eV/f.u. The calculated volume comes out at 403.2 Å³ per cell.

Here is an optimized crystal structure of RbPaSeS2 from the Alexandria database. Energies are from PBE.

Unit cell a=5.264 b=5.264 c=5.552 alpha=90.00 beta=90.00 gamma=90.00
Fractional coordinates of all 5 atoms:
1 Rb 0.000 0.000 0.000
2 Pa 0.500 0.500 0.500
3 Se 0.500 0.500 0.000
4 S 0.000 0.500 0.500
5 S 0.500 0.000 0.500

Output
The raw total energy comes out at -0.4376 Ry per atom. For the energy relative to the elements, uncorrected, the calculation gives -7.6 eV/f.u. The calculated volume comes out at 153.9 Å³ per cell.

Here is an optimized crystal structure of Rb2PaSe2S2 from the Alexandria database. Energies are from PBE.

Unit cell a=8.591 b=8.591 c=7.509 alpha=115.65 beta=115.65 gamma=29.42
Fractional coordinates of all 7 atoms:
1 Rb 0.163 0.163 0.160
2 Rb 0.837 0.837 0.840
3 Pa 0.000 0.000 0.500
4 Se 0.495 0.495 0.741
5 Se 0.505 0.505 0.259
6 S 0.169 0.169 0.677
7 S 0.831 0.831 0.323

Output
The raw total energy comes out at -0.3691 Ry per atom. For the energy relative to the elements, uncorrected, the calculation gives -8.5 eV/f.u. The calculated volume comes out at 243.5 Å³ per cell.

Here is an optimized crystal structure of Rb2PaSiS6 from the Alexandria database. Energies are from PBE.

Unit cell a=7.383 b=7.383 c=6.198 alpha=90.00 beta=90.00 gamma=120.00
Fractional coordinates of all 10 atoms:
1 Rb 0.333 0.667 0.209
2 Rb 0.667 0.333 0.791
3 Pa 0.000 0.000 0.500
4 Si 0.000 0.000 0.000
5 S 0.151 0.302 0.789
6 S 0.151 0.849 0.789
7 S 0.302 0.151 0.211
8 S 0.698 0.849 0.789
9 S 0.849 0.151 0.211
10 S 0.849 0.698 0.211

Output
The raw total energy comes out at -0.3846 Ry per atom. For the energy relative to the elements, uncorrected, the calculation gives -10.7 eV/f.u. The calculated volume comes out at 292.5 Å³ per cell.

Here is an optimized crystal structure of Rb2Sm2PaS6 from the Alexandria database. Energies are from PBE.

Unit cell a=7.105 b=7.105 c=8.233 alpha=98.46 beta=98.46 gamma=119.76
Fractional coordinates of all 11 atoms:
1 Rb 0.169 0.831 0.000
2 Rb 0.831 0.169 0.000
3 Sm 0.334 0.666 0.500
4 Sm 0.666 0.334 0.500
5 Pa 0.000 0.000 0.500
6 S 0.062 0.387 0.688
7 S 0.257 0.257 0.312
8 S 0.387 0.062 0.688
9 S 0.613 0.938 0.312
10 S 0.743 0.743 0.688
11 S 0.938 0.613 0.312

Output
The raw total energy comes out at -0.4367 Ry per atom. For the energy relative to the elements, uncorrected, the calculation gives -19.7 eV/f.u. The calculated volume comes out at 344.9 Å³ per cell.

Here is an optimized crystal structure of RbSmPaS4 from the Alexandria database. Energies are from PBE.

Unit cell a=8.566 b=8.566 c=8.566 alpha=120.68 beta=119.38 gamma=89.95
Fractional coordinates of all 14 atoms:
1 Rb 0.377 0.127 0.250
2 Rb 0.623 0.873 0.750
3 Sm 0.000 0.500 0.500
4 Sm 0.500 0.500 0.000
5 Pa 0.000 0.000 0.500
6 Pa 0.000 0.500 0.000
7 S 0.185 0.733 0.453
8 S 0.220 0.267 0.953
9 S 0.223 0.259 0.536
10 S 0.223 0.687 0.964
11 S 0.777 0.313 0.036
12 S 0.777 0.741 0.464
13 S 0.780 0.733 0.047
14 S 0.815 0.267 0.547

Output
The raw total energy comes out at -0.4558 Ry per atom. For the energy relative to the elements, uncorrected, the calculation gives -11.7 eV/f.u. The calculated volume comes out at 444.2 Å³ per cell.

Here is an optimized crystal structure of Rb3Sm3PaS8 from the Alexandria database. Energies are from PBE.

Unit cell a=9.165 b=9.165 c=9.165 alpha=53.63 beta=53.63 gamma=53.63
Fractional coordinates of all 15 atoms:
1 Rb 0.000 0.500 0.500
2 Rb 0.500 0.000 0.500
3 Rb 0.500 0.500 0.000
4 Sm 0.000 0.000 0.500
5 Sm 0.000 0.500 0.000
6 Sm 0.500 0.000 0.000
7 Pa 0.500 0.500 0.500
8 S 0.231 0.231 0.231
9 S 0.239 0.724 0.724
10 S 0.276 0.276 0.761
11 S 0.276 0.761 0.276
12 S 0.724 0.239 0.724
13 S 0.724 0.724 0.239
14 S 0.761 0.276 0.276
15 S 0.769 0.769 0.769

Output
The raw total energy comes out at -0.4244 Ry per atom. For the energy relative to the elements, uncorrected, the calculation gives -27.0 eV/f.u. The calculated volume comes out at 463.2 Å³ per cell.

Here is an optimized crystal structure of Rb3Sm2PaS6 from the Alexandria database. Energies are from PBE.

Unit cell a=7.152 b=7.152 c=8.088 alpha=98.48 beta=98.48 gamma=119.99
Fractional coordinates of all 12 atoms:
1 Rb 0.000 0.000 0.000
2 Rb 0.331 0.669 0.000
3 Rb 0.669 0.331 0.000
4 Sm 0.166 0.834 0.500
5 Sm 0.834 0.166 0.500
6 Pa 0.500 0.500 0.500
7 S 0.110 0.435 0.304
8 S 0.241 0.241 0.697
9 S 0.435 0.110 0.304
10 S 0.565 0.890 0.696
11 S 0.759 0.759 0.303
12 S 0.890 0.565 0.696

Output
The raw total energy comes out at -0.4098 Ry per atom. For the energy relative to the elements, uncorrected, the calculation gives -20.3 eV/f.u. The calculated volume comes out at 342.3 Å³ per cell.